Pm3GdN, relaxed, DFT PBE-GGA; symmetry = Pm-3m; Fermi-level density of states = 1.158 states/eV/atom; magnetization = 8.23 μB per formula unit; ΔE_f (raw) = -2.32 eV/f.u.
1.0
5.107 0.000 0.000
0.000 5.107 0.000
0.000 0.000 5.107
Pm Gd N
3 1 1
Cartesian
0.000 0.000 2.554
0.000 2.554 0.000
2.554 0.000 0.000
2.554 2.554 2.554
0.000 0.000 0.000



Ba2CuTe2, relaxed, DFT PBE-GGA; symmetry = P4/mbm; Fermi-level density of states = 0.371 states/eV/atom; magnetization = 0.00 μB per formula unit; ΔE_f (raw) = -4.49 eV/f.u.; polymorph energy (0 for the lowest one) = 0.00 eV per formula unit
1.0
9.035 0.000 0.000
0.000 9.035 0.000
0.000 0.000 4.567
Ba Cu Te
4 2 4
Cartesian
1.376 3.142 0.000
3.142 7.659 0.000
5.893 1.376 0.000
7.659 5.893 0.000
0.000 0.000 2.284
4.517 4.517 2.284
1.418 5.935 2.284
3.099 1.418 2.284
5.935 7.616 2.284
7.616 3.099 2.284



NaMgZr2, relaxed, DFT PBE-GGA; symmetry = I-42d; Fermi-level density of states = 0.999 states/eV/atom; magnetization = 0.00 μB per formula unit; formation enthalpy at 0 K = 0.69 eV per atom
1.0
-4.139 4.139 2.794
4.139 -4.139 2.794
4.139 4.139 -2.794
Na Mg Zr
2 2 4
Cartesian
0.000 0.000 0.000
0.000 4.139 1.397
4.139 0.000 1.397
0.000 0.000 2.794
2.069 2.047 -0.699
2.092 -2.069 3.493
2.069 2.092 2.096
2.047 6.208 0.699



Cs2RuCI6, relaxed, DFT PBE-GGA; symmetry = I4/mmm; Fermi-level density of states = 0.886 states/eV/atom; magnetization = 2.89 μB per formula unit; ΔE_f (raw) = -0.17 eV/f.u.
1.0
-3.861 3.861 6.276
3.861 -3.861 6.276
3.861 3.861 -6.276
Cs Ru C I
2 1 1 6
Cartesian
3.861 0.000 3.138
0.000 3.861 3.138
0.000 0.000 0.000
0.000 0.000 6.276
0.000 0.000 2.712
1.989 1.989 0.000
1.871 -1.871 6.276
-1.871 1.871 6.276
1.871 1.871 6.276
0.000 0.000 9.839



PaICl, relaxed, DFT PBE-GGA; symmetry = Cm; Fermi-level density of states = 1.269 states/eV/atom; magnetization = 1.22 μB per formula unit; ΔE_f (raw) = -3.09 eV/f.u.; polymorph energy (0 for the lowest one) = 0.35 eV per formula unit
1.0
3.215 -1.856 0.000
3.215 1.856 0.000
-3.079 0.000 8.369
Pa I Cl
1 1 1
Cartesian
0.000 0.000 0.000
-0.936 0.000 6.076
2.143 0.000 1.930



LaTl2RuO8, relaxed, DFT PBE-GGA; symmetry = P-1; Fermi-level density of states = 0.436 states/eV/atom; magnetization = 0.93 μB per formula unit; ΔE_f (raw) = -13.71 eV/f.u.
1.0
5.101 0.000 0.000
-0.101 5.150 0.000
-0.254 -0.221 6.875
La Tl Ru O
1 2 1 8
Cartesian
0.000 0.000 0.000
2.208 2.324 5.120
2.538 2.605 1.755
-0.127 -0.110 3.438
0.758 4.182 2.077
0.738 4.176 4.823
1.193 1.374 3.423
1.489 1.687 0.113
3.257 3.242 6.762
3.553 3.555 3.452
4.008 0.753 2.053
3.988 0.746 4.799



Tl3Sn5Bi12, relaxed, DFT PBE-GGA; symmetry = Ia-3d; Fermi-level density of states = 0.500 states/eV/atom; magnetization = 0.00 μB per formula unit; formation enthalpy at 0 K = 0.22 eV per atom
1.0
-9.257 9.257 9.257
9.257 -9.257 9.257
9.257 9.257 -9.257
Tl Sn Bi
12 20 48
Cartesian
4.629 2.314 0.000
9.257 4.629 -2.314
2.314 0.000 4.629
11.572 0.000 4.629
0.000 4.629 2.314
4.629 -2.314 9.257
4.629 11.572 0.000
9.257 4.629 6.943
-2.314 9.257 4.629
6.943 9.257 4.629
0.000 4.629 11.572
4.629 6.943 9.257
0.000 0.000 0.000
4.629 4.629 -4.629
4.629 -4.629 4.629
9.257 0.000 0.000
13.886 2.314 0.000
9.257 -4.629 6.943
6.943 9.257 -4.629
6.943 0.000 4.629
4.629 6.943 0.000
9.257 4.629 2.314
-4.629 4.629 4.629
0.000 9.257 0.000
0.000 0.000 9.257
4.629 4.629 4.629
0.000 4.629 6.943
4.629 2.314 9.257
2.314 9.257 4.629
2.314 0.000 13.886
0.000 13.886 2.314
-4.629 6.943 9.257
2.610 -0.824 1.605
11.276 6.234 -5.453
8.433 -1.605 2.610
14.710 -2.018 3.023
1.605 2.610 -0.824
12.281 3.804 -2.018
11.868 0.824 1.605
11.276 -3.023 5.453
6.234 5.453 -2.018
7.652 2.610 0.824
-0.824 1.605 2.610
5.453 -2.018 6.234
8.433 7.652 -2.610
5.453 2.018 3.023
7.652 -2.610 8.433
6.234 -5.453 11.276
2.610 8.433 -1.605
11.276 3.023 3.804
3.023 5.453 2.018
10.863 6.647 0.824
5.453 11.276 -3.023
8.433 1.605 6.647
2.018 3.023 5.453
2.610 0.824 7.652
6.647 8.433 1.605
7.239 6.234 3.804
0.824 7.652 2.610
3.804 -2.018 12.281
-1.605 2.610 8.433
6.234 3.804 7.239
-2.018 6.234 5.453
6.647 0.824 10.863
3.023 14.710 -2.018
1.605 11.868 0.824
3.804 7.239 6.234
0.824 1.605 11.868
3.804 11.276 3.023
10.082 7.652 6.647
1.605 6.647 8.433
3.023 3.804 11.276
-2.018 12.281 3.804
-2.610 8.433 7.652
-3.023 5.453 11.276
7.652 6.647 10.082
-5.453 11.276 6.234
0.824 10.863 6.647
-2.018 3.023 14.710
6.647 10.082 7.652



Sm5Zn2Sb, relaxed, DFT PBE-GGA; symmetry = I4/mcm; Fermi-level density of states = 0.814 states/eV/atom; magnetization = 0.00 μB per formula unit; ΔE_f (raw) = -3.68 eV/f.u.
1.0
-4.182 4.182 6.377
4.182 -4.182 6.377
4.182 4.182 -6.377
Sm Zn Sb
10 4 2
Cartesian
0.000 0.000 0.000
5.466 1.284 -1.845
1.284 2.897 -1.845
5.466 1.284 1.845
1.284 2.897 1.845
0.000 0.000 6.377
2.897 1.284 4.532
-1.284 2.897 4.532
2.897 1.284 8.222
-1.284 2.897 8.222
2.999 1.182 0.000
2.999 -1.182 6.377
1.182 5.364 0.000
1.182 2.999 6.377
0.000 0.000 3.188
0.000 0.000 9.565



Ta2Si2Hg, relaxed, DFT PBE-GGA; symmetry = P4/mbm; Fermi-level density of states = 0.496 states/eV/atom; magnetization = 0.00 μB per formula unit; ΔE_f (raw) = 0.35 eV/f.u.
1.0
6.942 0.000 0.000
0.000 6.942 0.000
0.000 0.000 3.452
Ta Si Hg
4 4 2
Cartesian
1.116 2.355 0.000
2.355 5.826 0.000
4.587 1.116 0.000
5.826 4.587 0.000
0.890 4.361 1.726
2.581 0.890 1.726
4.361 6.052 1.726
6.052 2.581 1.726
0.000 0.000 1.726
3.471 3.471 1.726



Ba2AcBi, relaxed, DFT PBE-GGA; symmetry = P4/mmm; Fermi-level density of states = 1.392 states/eV/atom; magnetization = 0.15 μB per formula unit; formation enthalpy at 0 K = -0.34 eV per atom; polymorph energy (0 for the lowest one) = 0.00 eV per formula unit
1.0
5.402 0.000 0.000
0.000 5.402 0.000
0.000 0.000 5.735
Ba Ac Bi
2 1 1
Cartesian
0.000 2.701 0.000
2.701 0.000 0.000
0.000 0.000 2.868
2.701 2.701 2.868



Sr2SbRu, relaxed, DFT PBE-GGA; symmetry = R-3m; Fermi-level density of states = 0.471 states/eV/atom; magnetization = 0.23 μB per formula unit; ΔE_f (raw) = 0.77 eV/f.u.
1.0
1.856 1.072 9.705
-1.856 1.072 9.705
0.000 -2.143 9.705
Sr Sb Ru
2 1 1
Cartesian
0.000 0.000 6.968
0.000 0.000 22.147
0.000 0.000 0.000
0.000 0.000 14.558



Fe3NiRh, relaxed, DFT PBE-GGA; symmetry = Cmcm; Fermi-level density of states = 0.965 states/eV/atom; magnetization = 9.62 μB per formula unit; formation enthalpy at 0 K = 0.10 eV per atom; polymorph energy (0 for the lowest one) = 0.00 eV per formula unit
1.0
1.981 -6.381 0.000
1.981 6.381 0.000
0.000 0.000 4.978
Fe Ni Rh
6 2 2
Cartesian
1.981 5.145 2.496
1.981 5.145 4.971
1.981 2.325 3.733
1.981 -2.325 1.244
1.981 -5.145 0.007
1.981 -5.145 2.482
1.981 0.069 1.244
1.981 -0.069 3.733
1.981 2.618 1.244
1.981 -2.618 3.733



BaCd, relaxed, DFT PBE-GGA; symmetry = Cm; Fermi-level density of states = 0.871 states/eV/atom; magnetization = 0.00 μB per formula unit; formation enthalpy at 0 K = -0.20 eV per atom
1.0
7.656 -2.106 0.000
7.656 2.106 0.000
-3.649 0.000 7.513
Ba Cd
3 3
Cartesian
0.000 0.000 0.000
-1.377 0.000 4.083
10.093 0.000 3.060
1.642 0.000 5.839
4.910 0.000 1.371
7.261 0.000 7.033



Nd8Ni3Br4Cl, relaxed, DFT PBE-GGA; symmetry = R-3m; Fermi-level density of states = 0.953 states/eV/atom; magnetization = 0.00 μB per formula unit; ΔE_f (raw) = -14.65 eV/f.u.
1.0
4.095 2.364 7.557
-4.095 2.364 7.557
0.000 -4.728 7.557
Nd Ni Br Cl
8 3 4 1
Cartesian
-2.126 -1.227 12.903
0.000 0.000 5.208
0.000 -2.455 9.768
-2.126 1.227 9.768
2.126 -1.227 12.903
0.000 2.455 12.903
0.000 0.000 17.462
2.126 1.227 9.768
-4.095 0.000 11.335
-2.047 1.182 3.778
2.047 1.182 3.778
0.000 0.000 0.000
-2.047 -1.182 7.557
-2.047 1.182 15.114
0.000 2.364 7.557
0.000 0.000 11.335